1.
Below is a PBEsol-optimized structure of Zn3Pb, with properties calculated at the SCAN level.

Output
* total magnetic moment: 0.0000 μB per atom
* formation enthalpy at 0 K: 1.262 eV/f.u.

Cell lengths 8.7604, 8.7604, 3.5641 Å; angles 90.00, 90.00, 120.00 degrees
Closest atoms and distances in Å follow each position.
Fractional positions:
1 Zn 0.0000 0.5000 0.0000  4 Zn 2.79, 2 Pb 2.79
2 Zn 0.1667 0.3333 0.3333  4 Zn 2.79, 2 Pb 2.79
3 Zn 0.1667 0.8333 0.3333  2 Pb 2.79, 4 Zn 2.79
4 Zn 0.3333 0.1667 0.6667  4 Zn 2.79, 2 Pb 2.79
5 Zn 0.5000 0.0000 0.0000  2 Pb 2.79, 4 Zn 2.79
6 Zn 0.5000 0.5000 0.0000  4 Zn 2.79, 2 Pb 2.79
7 Zn 0.6667 0.8333 0.3333  4 Zn 2.79, 2 Pb 2.79
8 Zn 0.8333 0.1667 0.6667  2 Pb 2.79, 4 Zn 2.79
9 Zn 0.8333 0.6667 0.6667  4 Zn 2.79, 2 Pb 2.79
10 Pb 0.0000 0.0000 0.0000  6 Zn 2.79
11 Pb 0.3333 0.6667 0.6667  6 Zn 2.79
12 Pb 0.6667 0.3333 0.3333  6 Zn 2.79

---

2.
Below is a PBEsol-optimized structure of Zn3Pb, with properties calculated at the SCAN level.

Output
* total magnetic moment: 0.0000 μB per atom
* formation enthalpy at 0 K: 0.592 eV/f.u.

Cell lengths 8.2849, 3.2826, 5.6894 Å; angles 90.00, 102.05, 90.00 degrees
Closest atoms and distances in Å follow each position.
Fractional positions:
1 Zn 0.0000 0.0000 0.0000  6 Zn 2.59-2.60
2 Zn 0.2367 0.5000 0.1788  5 Zn 2.59-2.66
3 Zn 0.2633 0.0000 0.8212  5 Zn 2.59-2.66
4 Zn 0.5000 0.5000 0.0000  6 Zn 2.59-2.60
5 Zn 0.7367 0.0000 0.1788  5 Zn 2.59-2.66
6 Zn 0.7633 0.5000 0.8212  5 Zn 2.59-2.66
7 Pb 0.0000 0.5000 0.5000  10 Zn 2.95-3.28, 2 Pb 3.28
8 Pb 0.5000 0.0000 0.5000  10 Zn 2.95-3.28, 2 Pb 3.28

---

3.
Below is a PBEsol-optimized structure of ZnPb5, with properties calculated at the SCAN level.

Output
* total magnetic moment: 0.0000 μB per atom
* formation enthalpy at 0 K: 0.654 eV/f.u.

Cell lengths 5.1822, 14.2914, 4.4673 Å; angles 90.00, 90.00, 90.00 degrees
Closest atoms and distances in Å follow each position.
Fractional positions:
1 Zn 0.0000 0.0000 0.0000  8 Pb 3.09-3.42
2 Zn 0.5000 0.5000 0.0000  8 Pb 3.09-3.42
3 Pb 0.0000 0.1490 0.5000  2 Zn 3.09, 8 Pb 3.35-3.43
4 Pb 0.0000 0.3299 0.0000  10 Pb 3.30-3.45, 2 Zn 3.55
5 Pb 0.0000 0.5000 0.5000  8 Pb 3.30-3.35, 4 Zn 3.42
6 Pb 0.0000 0.6701 0.0000  10 Pb 3.30-3.45, 2 Zn 3.55
7 Pb 0.0000 0.8510 0.5000  2 Zn 3.09, 8 Pb 3.35-3.43
8 Pb 0.5000 0.0000 0.5000  8 Pb 3.30-3.35, 4 Zn 3.42
9 Pb 0.5000 0.1701 0.0000  10 Pb 3.30-3.45, 2 Zn 3.55
10 Pb 0.5000 0.3510 0.5000  2 Zn 3.09, 8 Pb 3.35-3.43
11 Pb 0.5000 0.6490 0.5000  2 Zn 3.09, 8 Pb 3.35-3.43
12 Pb 0.5000 0.8299 0.0000  10 Pb 3.30-3.45, 2 Zn 3.55

---

4.
Below is a PBEsol-optimized structure of ZrZnPb2, with properties calculated at the SCAN level.

Output
* total magnetic moment: 0.0000 μB per atom
* formation enthalpy at 0 K: -0.128 eV/f.u.

Cell lengths 3.4836, 4.2117, 6.2009 Å; angles 90.00, 90.00, 90.00 degrees
Closest atoms and distances in Å follow each position.
Fractional positions:
1 Zr 0.0000 0.0000 0.0000  6 Pb 2.93-3.27, 4 Zn 3.09
2 Zn 0.5000 0.5000 0.7675  5 Pb 2.84-3.11, 4 Zr 3.09
3 Pb 0.0000 0.0000 0.5277  2 Zr 2.93-3.27, 4 Zn 3.11
4 Pb 0.5000 0.5000 0.2252  1 Zn 2.84, 4 Zr 3.07

---

5.
Below is a PBEsol-optimized structure of ZrZn2Pb, with properties calculated at the SCAN level.

Output
* total magnetic moment: 0.0000 μB per atom
* formation enthalpy at 0 K: -0.533 eV/f.u.

Cell lengths 3.9904, 4.0606, 9.3617 Å; angles 90.00, 90.00, 90.00 degrees
Closest atoms and distances in Å follow each position.
Fractional positions:
1 Zr 0.0000 0.0000 0.0000  8 Zn 2.85-3.13, 4 Pb 3.05-3.13
2 Zr 0.5000 0.5000 0.5000  8 Zn 2.85-3.13, 4 Pb 3.05-3.13
3 Zn 0.0000 0.0000 0.5158  4 Zr 2.85, 2 Zn 2.91, 4 Pb 3.04-3.14
4 Zn 0.0000 0.5000 0.2422  4 Pb 2.85, 2 Zn 2.91, 4 Zr 3.04-3.13
5 Zn 0.5000 0.0000 0.7422  4 Pb 2.85, 2 Zn 2.91, 4 Zr 3.04-3.13
6 Zn 0.5000 0.5000 0.0158  4 Zr 2.85, 2 Zn 2.91, 4 Pb 3.04-3.14
7 Pb 0.0000 0.5000 0.7570  8 Zn 2.85-3.14, 4 Zr 3.05-3.13
8 Pb 0.5000 0.0000 0.2570  8 Zn 2.85-3.14, 4 Zr 3.05-3.13

---

6.
Below is a PBEsol-optimized structure of Zr2ZnPb, with properties calculated at the SCAN level.

Output
* total magnetic moment: 0.0000 μB per atom
* formation enthalpy at 0 K: -1.107 eV/f.u.

Cell lengths 4.1361, 4.1476, 9.6127 Å; angles 90.00, 90.00, 90.00 degrees
Closest atoms and distances in Å follow each position.
Fractional positions:
1 Zr 0.0000 0.0000 0.0000  4 Pb 2.93, 4 Zn 3.17, 4 Zr 3.17
2 Zr 0.0000 0.5000 0.2497  4 Zn 2.93, 4 Zr 3.17, 4 Pb 3.17
3 Zr 0.5000 0.0000 0.7497  4 Zn 2.93, 4 Zr 3.17, 4 Pb 3.17
4 Zr 0.5000 0.5000 0.5000  4 Pb 2.93, 4 Zn 3.17, 4 Zr 3.17
5 Zn 0.0000 0.5000 0.7499  8 Zr 2.93-3.17, 4 Pb 3.17-3.18
6 Zn 0.5000 0.0000 0.2499  8 Zr 2.93-3.17, 4 Pb 3.17-3.18
7 Pb 0.0000 0.0000 0.4995  8 Zr 2.93-3.17, 4 Zn 3.17-3.18
8 Pb 0.5000 0.5000 0.9995  8 Zr 2.93-3.17, 4 Zn 3.17-3.18

---

Question: formation enthalpy at 0 K of number 2 (Zn3Pb)?
Answer: 0.592 eV/f.u.

---

Copy entry 4 word for word.
Below is a PBEsol-optimized structure of ZrZnPb2, with properties calculated at the SCAN level.

Output
* total magnetic moment: 0.0000 μB per atom
* formation enthalpy at 0 K: -0.128 eV/f.u.

Cell lengths 3.4836, 4.2117, 6.2009 Å; angles 90.00, 90.00, 90.00 degrees
Closest atoms and distances in Å follow each position.
Fractional positions:
1 Zr 0.0000 0.0000 0.0000  6 Pb 2.93-3.27, 4 Zn 3.09
2 Zn 0.5000 0.5000 0.7675  5 Pb 2.84-3.11, 4 Zr 3.09
3 Pb 0.0000 0.0000 0.5277  2 Zr 2.93-3.27, 4 Zn 3.11
4 Pb 0.5000 0.5000 0.2252  1 Zn 2.84, 4 Zr 3.07

---

Question: total magnetic moment of number 2 (Zn3Pb)?
Answer: 0.0000 μB per atom

---

Question: Which value of formation enthalpy at 0 K does entry 5 give?
Answer: -0.533 eV/f.u.